(1)
This record from OQMD describes a relaxed NdScSb2 crystal. The functional is GGA-PBE.

**E**: -45.782 eV/cell

abc: 4.403 4.403 11.205
angles: 90.00 90.00 90.00
Last column: magnetic moment on the atom in μB.
Fractional positions:
Sb (0.000, 0.000, 0.500)  -0.01
Sb (0.500, 0.000, 0.179)  -0.01
Sb (0.000, 0.500, 0.821)  -0.01
Sb (0.500, 0.500, 0.500)  -0.01
Nd (0.500, 0.000, 0.720)  0.00
Nd (0.000, 0.500, 0.280)  0.00
Sc (0.000, 0.000, 0.000)  0.26
Sc (0.500, 0.500, 0.000)  0.26



(2)
This record from OQMD describes a relaxed Cs2YHoS4 crystal. The functional is GGA-PBE.

**E**: -43.951 eV/cell

abc: 4.085 4.085 16.112
angles: 90.00 90.00 120.00
Fractional positions:
Ho (0.000, 0.000, 0.000)
S (0.667, 0.333, 0.091)
S (0.333, 0.667, 0.909)
S (0.333, 0.667, 0.591)
S (0.667, 0.333, 0.409)
Y (0.000, 0.000, 0.500)
Cs (0.667, 0.333, 0.750)
Cs (0.333, 0.667, 0.250)



(3)
This record from OQMD describes a relaxed Cd2Pb2O5 crystal. The functional is GGA-PBE.

**E**: -40.162 eV/cell

abc: 8.557 4.043 4.043
angles: 90.00 90.00 90.00
Fractional positions:
Cd (0.757, 0.500, 0.500)
Cd (0.243, 0.500, 0.500)
O (0.500, 0.500, 0.500)
O (0.155, 0.000, 0.500)
O (0.845, 0.000, 0.500)
O (0.845, 0.500, 0.000)
O (0.155, 0.500, 0.000)
Pb (0.500, 0.000, 0.000)
Pb (0.000, 0.000, 0.000)



(4)
This record from OQMD describes a relaxed HoCo4As3 crystal. The functional is GGA-PBE.

**E**: -49.143 eV/cell

abc: 3.733 5.229 6.208
angles: 90.08 90.02 90.00
Fractional positions:
Ho (0.001, 0.745, 0.926)
Co (0.001, 0.011, 0.296)
Co (0.001, 0.488, 0.300)
Co (0.501, 0.008, 0.691)
Co (0.501, 0.488, 0.688)
As (0.002, 0.247, 0.618)
As (0.500, 0.751, 0.390)
As (0.502, 0.248, 0.075)



(5)
This record from OQMD describes a relaxed SrLiCoAs2 crystal. The functional is GGA-PBE.

**E**: -23.270 eV/cell

abc: 6.097 6.097 6.097
angles: 140.21 140.21 57.54
Last column: magnetic moment on the atom in μB.
Fractional positions:
As (0.885, 0.385, 0.500)  0.00
As (0.615, 0.115, 0.500)  0.01
Co (0.500, 0.500, 0.000)  0.56
Sr (0.250, 0.750, 0.500)  0.01
Li (0.000, 0.000, 0.000)  0.00



(6)
This record from OQMD describes a relaxed LaBPt3 crystal. The functional is GGA-PBE.

**E above lowest polymorph**: 0.0 meV per atom

abc: 4.062 4.062 5.144
angles: 90.00 90.00 90.00
Fractional positions:
B (0.500, 0.500, 0.696)
Pt (0.500, 0.500, 0.110)
Pt (0.000, 0.500, 0.514)
Pt (0.500, 0.000, 0.514)
La (0.000, 0.000, 0.999)



(7)
This record from OQMD describes a relaxed NdHfO3 crystal. The functional is GGA-PBE.

**E**: -90.292 eV/cell

abc: 5.467 5.467 5.467
angles: 66.64 66.64 66.64
Fractional positions:
O (0.147, 0.750, 0.353)
O (0.647, 0.853, 0.250)
O (0.853, 0.250, 0.647)
O (0.353, 0.147, 0.750)
O (0.750, 0.353, 0.147)
O (0.250, 0.647, 0.853)
Hf (0.000, 0.000, 0.000)
Hf (0.500, 0.500, 0.500)
Nd (0.750, 0.750, 0.750)
Nd (0.250, 0.250, 0.250)



(8)
This record from OQMD describes a relaxed SrSi2GeIr crystal. The functional is GGA-PBE.

**E**: -28.989 eV/cell

abc: 5.934 5.934 5.934
angles: 137.02 137.02 62.41
Fractional positions:
Sr (0.405, 0.405, 0.000)
Ir (0.751, 0.751, 0.000)
Si (0.650, 0.150, 0.500)
Si (0.150, 0.650, 0.500)
Ge (0.997, 0.997, 0.000)



(9)
This record from OQMD describes a relaxed TlInAu crystal. The functional is GGA-PBE.

**E above lowest polymorph**: 19.4 meV per atom

abc: 4.809 4.809 6.794
angles: 90.00 90.00 90.00
Fractional positions:
In (0.000, 0.000, 0.250)
In (0.000, 0.000, 0.750)
Tl (0.500, 0.500, 0.750)
Tl (0.500, 0.500, 0.250)
Au (0.500, 0.000, 0.000)
Au (0.000, 0.500, 0.500)



(10)
This record from OQMD describes a relaxed PbAuO2 crystal. The functional is GGA-PBE.

**E**: -38.652 eV/cell

abc: 3.663 5.600 6.896
angles: 87.24 82.53 88.86
Fractional positions:
Au (0.000, 0.000, 0.000)
Au (0.000, 0.000, 0.500)
O (0.219, 0.313, 0.565)
O (0.781, 0.687, 0.435)
O (0.120, 0.819, 0.750)
O (0.880, 0.181, 0.250)
Pb (0.677, 0.497, 0.743)
Pb (0.323, 0.503, 0.257)



(11)
This record from OQMD describes a relaxed LiNi2Sn crystal. The functional is GGA-PBE.

**E**: -109.124 eV/cell

abc: 4.224 5.982 12.674
angles: 90.00 90.00 90.00
Fractional positions:
Ni (0.000, 0.750, 0.833)
Ni (0.500, 0.750, 0.000)
Ni (0.500, 0.250, 0.333)
Ni (0.000, 0.250, 0.833)
Ni (0.500, 0.750, 0.667)
Ni (0.000, 0.750, 0.167)
Ni (0.500, 0.250, 0.000)
Ni (0.000, 0.250, 0.167)
Ni (0.000, 0.750, 0.500)
Ni (0.500, 0.750, 0.333)
Ni (0.000, 0.250, 0.500)
Ni (0.500, 0.250, 0.667)
Li (0.500, 0.000, 0.167)
Li (0.000, 0.500, 0.667)
Li (0.000, 0.500, 0.333)
Li (0.500, 0.000, 0.500)
Li (0.000, 0.500, 0.000)
Li (0.500, 0.000, 0.833)
Sn (0.500, 0.500, 0.833)
Sn (0.500, 0.500, 0.500)
Sn (0.000, 0.000, 0.667)
Sn (0.000, 0.000, 0.333)
Sn (0.500, 0.500, 0.167)
Sn (0.000, 0.000, 0.000)



(12)
This record from OQMD describes a relaxed BaCu2Sb2Pb crystal. The functional is GGA-PBE.

**E**: -23.291 eV/cell

abc: 4.563 4.563 9.019
angles: 90.00 90.00 120.00
Fractional positions:
Cu (0.667, 0.333, 0.467)
Cu (0.333, 0.667, 0.035)
Ba (0.000, 0.000, 0.750)
Sb (0.667, 0.333, 0.013)
Sb (0.333, 0.667, 0.487)
Pb (0.000, 0.000, 0.250)



Repeat the ninth record exactly.
This record from OQMD describes a relaxed TlInAu crystal. The functional is GGA-PBE.

**E above lowest polymorph**: 19.4 meV per atom

abc: 4.809 4.809 6.794
angles: 90.00 90.00 90.00
Fractional positions:
In (0.000, 0.000, 0.250)
In (0.000, 0.000, 0.750)
Tl (0.500, 0.500, 0.750)
Tl (0.500, 0.500, 0.250)
Au (0.500, 0.000, 0.000)
Au (0.000, 0.500, 0.500)



Repeat the sixth record exactly.
This record from OQMD describes a relaxed LaBPt3 crystal. The functional is GGA-PBE.

**E above lowest polymorph**: 0.0 meV per atom

abc: 4.062 4.062 5.144
angles: 90.00 90.00 90.00
Fractional positions:
B (0.500, 0.500, 0.696)
Pt (0.500, 0.500, 0.110)
Pt (0.000, 0.500, 0.514)
Pt (0.500, 0.000, 0.514)
La (0.000, 0.000, 0.999)



Question: Number 1 is which compound?
Answer: NdScSb2



Question: Which formula does entry 8 have?
Answer: SrSi2GeIr